Record 1
## Pr3As2Se2 (PBE-GGA)

Data for an optimized crystal structure of Pr3As2Se2.

```
Pr3As2Se2
1.0
7.6626 -2.1519 0.0000
7.6626 2.1519 0.0000
-3.1885 0.0000 6.8803
Pr As Se
3 2 2
direct
0.0000 0.0000 0.0000
0.2821 0.2821 0.2852
0.7179 0.7179 0.7148
0.3574 0.3574 0.9783
0.6426 0.6426 0.0217
0.1239 0.1239 0.4325
0.8761 0.8761 0.5675
```

Output
As for the uncorrected formation energy: -9.57 eV per formula unit.

***

Record 2
## BeFe2NiN (PBE-GGA)

Data for an optimized crystal structure of BeFe2NiN.

```
BeFe2NiN
1.0
4.3560 0.0000 0.0000
0.0000 4.3560 0.0000
0.0000 0.0000 2.9375
Be Fe Ni N
1 2 1 1
direct
0.0000 0.0000 0.0000
0.0000 0.5000 0.0000
0.5000 0.0000 0.0000
0.5000 0.5000 0.5000
0.0000 0.0000 0.5000
```

Output
As for the uncorrected formation energy: 3.22 eV per formula unit.

***

Record 3
## HfInI6 (PBE-GGA)

Data for an optimized crystal structure of HfInI6.

```
HfInI6
1.0
3.7320 -6.9327 0.0000
3.7320 6.9327 0.0000
-2.4863 0.0000 7.0393
Hf In I
1 1 6
direct
0.0000 0.0000 0.0000
0.5000 0.5000 0.5000
0.0869 0.3803 0.2341
0.2326 0.2326 0.7682
0.3803 0.0869 0.2341
0.6197 0.9131 0.7659
0.7674 0.7674 0.2318
0.9131 0.6197 0.7659
```

Output
As for the uncorrected formation energy: -5.47 eV per formula unit. The value obtained for the excess energy over the best structure of this formula in the dataset is 0 meV per atom.

***

Record 4
## HgPd8Au5 (PBE-GGA)

Data for an optimized crystal structure of HgPd8Au5.

```
HgPd8Au5
1.0
4.0620 -3.4504 0.0000
4.0620 3.4504 0.0000
-4.0521 0.0000 8.7881
Hg Pd Au
1 8 5
direct
0.0000 0.0000 0.0000
0.2179 0.5812 0.7384
0.4153 0.2703 0.2379
0.4188 0.7821 0.2616
0.4981 0.1072 0.7948
0.7297 0.5847 0.7621
0.8928 0.5019 0.2052
0.9359 0.0482 0.3026
0.9518 0.0641 0.6974
0.1864 0.4403 0.9804
0.2620 0.7380 0.5000
0.4432 0.2095 0.5171
0.5597 0.8136 0.0196
0.7905 0.5568 0.4829
```

Output
The value obtained for the excess energy over the best structure of this formula in the dataset is 0 meV per atom.

***

Record 5
## SiBi2PF (PBE-GGA)

Data for an optimized crystal structure of SiBi2PF.

```
SiBi2PF
1.0
5.4597 0.0000 0.0000
0.0000 5.4597 0.0000
0.0000 0.0000 4.3685
Si Bi P F
1 2 1 1
direct
0.0000 0.0000 0.0000
0.0000 0.5000 0.5000
0.5000 0.0000 0.5000
0.0000 0.0000 0.5000
0.5000 0.5000 0.0000
```

Output
As for the uncorrected formation energy: 1.53 eV per formula unit.

***

Record 6
## Y2MgHg6 (PBE-GGA)

Data for an optimized crystal structure of Y2MgHg6.

```
Y2MgHg6
1.0
9.2369 0.0000 0.0000
0.0000 9.2369 0.0000
0.0000 0.0000 5.0040
Y Mg Hg
4 2 12
direct
0.1997 0.1997 0.0000
0.3003 0.6997 0.5000
0.6997 0.3003 0.5000
0.8003 0.8003 0.0000
0.0000 0.0000 0.5000
0.5000 0.5000 0.0000
0.0360 0.3339 0.5000
0.1346 0.8654 0.0000
0.1661 0.5360 0.0000
0.3339 0.0360 0.5000
0.3654 0.3654 0.5000
0.4640 0.8339 0.0000
0.5360 0.1661 0.0000
0.6346 0.6346 0.5000
0.6661 0.9640 0.5000
0.8339 0.4640 0.0000
0.8654 0.1346 0.0000
0.9640 0.6661 0.5000
```

Output
The value obtained for the excess energy over the best structure of this formula in the dataset is 0 meV per atom.

***

no.,electronic total energy (eV/atom)
1,-5.739
2,-6.308
3,-3.433
4,-4.096
5,-3.787
6,-2.144